(1)
Nd2Dy2Th | GGA-PBE | optimized geometry

Results
- E_tot (Ha/atom) = -0.1769
- E above lowest polymorph (eV/atom) = 0.405

Unit cell a=4.607 b=4.607 c=8.775 alpha=105.22 beta=105.22 gamma=90.00
Fractional coordinates of all 5 atoms:
1 Nd 0.250 0.750 0.500
2 Th 0.000 0.000 0.000
3 Dy 0.407 0.407 0.814
4 Nd 0.750 0.250 0.500
5 Dy 0.593 0.593 0.186

(2)
Nd3Dy6Th | GGA-PBE | optimized geometry

Results
- E_tot (Ha/atom) = -0.1760
- E above lowest polymorph (eV/atom) = 0.000

Unit cell a=9.075 b=9.017 c=9.017 alpha=116.23 beta=90.00 gamma=90.00
Fractional coordinates of all 20 atoms:
1 Dy 0.831 0.324 0.028
2 Dy 0.934 0.780 0.220
3 Dy 0.331 0.676 0.972
4 Th 0.071 0.275 0.725
5 Dy 0.668 0.172 0.472
6 Nd 0.312 0.448 0.552
7 Dy 0.434 0.220 0.780
8 Nd 0.812 0.552 0.448
9 Nd 0.996 0.183 0.314
10 Dy 0.668 0.528 0.828
11 Th 0.571 0.725 0.275
12 Dy 0.168 0.828 0.528
13 Nd 0.496 0.314 0.183
14 Dy 0.168 0.472 0.172
15 Dy 0.679 0.946 0.054
16 Dy 0.831 0.972 0.676
17 Dy 0.179 0.054 0.946
18 Nd 0.496 0.817 0.686
19 Nd 0.996 0.686 0.817
20 Dy 0.331 0.028 0.324

(3)
Nd8Dy2Th3 | GGA-PBE | optimized geometry

Results
- E_tot (Ha/atom) = -0.1882

Unit cell a=10.472 b=11.096 c=9.968 alpha=123.82 beta=137.22 gamma=90.00
Fractional coordinates of all 13 atoms:
1 Dy 0.576 0.810 0.620
2 Nd 0.643 0.238 0.962
3 Nd 0.013 0.614 0.228
4 Nd 0.357 0.762 0.038
5 Nd 0.643 0.724 0.962
6 Th 0.500 0.000 0.000
7 Nd 0.165 0.254 0.508
8 Dy 0.424 0.190 0.380
9 Nd 0.987 0.386 0.772
10 Nd 0.835 0.746 0.492
11 Nd 0.357 0.276 0.038
12 Th 0.000 0.763 0.000
13 Th 0.000 0.237 0.000

(4)
Nd5Dy4Th | GGA-PBE | optimized geometry

Results
- E_tot (Ha/atom) = -0.1770
- E above lowest polymorph (eV/atom) = 0.108

Unit cell a=3.589 b=10.620 c=9.340 alpha=83.54 beta=101.08 gamma=90.00
Fractional coordinates of all 10 atoms:
1 Dy 0.320 0.918 0.639
2 Dy 0.952 0.761 0.904
3 Th 0.500 0.000 0.000
4 Dy 0.680 0.082 0.361
5 Dy 0.048 0.239 0.096
6 Nd 0.500 0.500 0.000
7 Nd 0.191 0.402 0.381
8 Nd 0.862 0.223 0.724
9 Nd 0.809 0.598 0.619
10 Nd 0.138 0.777 0.276

The following ΔE_f values (in eV per atom) correspond, in order, to the records above: 0.418; 0.143; 0.234; 0.150.